Record 1
First-principles (PBE) data for a relaxed LiFeRh crystal, as listed in the Alexandria database.

Unit cell a=6.5353 b=3.9130 c=6.6956 alpha=90.00 beta=90.00 gamma=90.00
Positions (direct):
Rh (0.1740, 0.2500, 0.4061)
Rh (0.3260, 0.7500, 0.9061)
Rh (0.8260, 0.7500, 0.5939)
Rh (0.6740, 0.2500, 0.0939)
Fe (0.8252, 0.2500, 0.4064)
Fe (0.6748, 0.7500, 0.9064)
Fe (0.1748, 0.7500, 0.5936)
Fe (0.3252, 0.2500, 0.0936)
Li (0.0034, 0.2500, 0.8303)
Li (0.4966, 0.7500, 0.3303)
Li (0.9966, 0.7500, 0.1697)
Li (0.5034, 0.2500, 0.6697)

Summary:
V: 14.3 Å³/atom
relative energy among the computed polymorphs: 0.279 eV/atom
calculated total energy: -5.68 eV/atom
energy of formation from the pure elements: 0.7 eV per formula unit

Record 2
First-principles (PBE) data for a relaxed LiFeRh crystal, as listed in the Alexandria database.

Unit cell a=7.2719 b=4.9420 c=4.1969 alpha=90.00 beta=90.00 gamma=90.00
Positions (direct):
Rh (0.3332, 0.2500, 0.0000)
Rh (0.1668, 0.7500, 0.5000)
Rh (0.6668, 0.7500, 0.0000)
Rh (0.8332, 0.2500, 0.5000)
Fe (0.0000, 0.0000, 0.0000)
Fe (0.5000, 0.5000, 0.5000)
Fe (0.5000, 0.0000, 0.5000)
Fe (0.0000, 0.5000, 0.0000)
Li (0.6665, 0.2500, 0.0000)
Li (0.8335, 0.7500, 0.5000)
Li (0.3335, 0.7500, 0.0000)
Li (0.1665, 0.2500, 0.5000)

Summary:
V: 12.6 Å³/atom
relative energy among the computed polymorphs: 0.090 eV/atom
calculated total energy: -5.87 eV/atom
energy of formation from the pure elements: 0.1 eV per formula unit

Record 3
First-principles (PBE) data for a relaxed LiFeRh crystal, as listed in the Alexandria database.

Unit cell a=3.8812 b=3.8812 c=3.8812 alpha=60.00 beta=60.00 gamma=60.00
Positions (direct):
Fe (0.5000, 0.5000, 0.5000)
Li (0.7500, 0.7500, 0.7500)
Rh (0.0000, 0.0000, 0.0000)

Summary:
V: 13.8 Å³/atom
relative energy among the computed polymorphs: 0.593 eV/atom
calculated total energy: -5.37 eV/atom
energy of formation from the pure elements: 1.6 eV per formula unit

Record 4
First-principles (PBE) data for a relaxed LiFe2Rh crystal, as listed in the Alexandria database.

Unit cell a=4.2134 b=2.5769 c=4.7501 alpha=79.72 beta=90.00 gamma=90.00
Positions (direct):
Fe (0.0000, 0.0279, 0.0010)
Fe (0.0000, 0.4721, 0.4990)
Li (0.5000, 0.2500, 0.2500)
Rh (0.5000, 0.7500, 0.7500)

Summary:
V: 12.7 Å³/atom
calculated total energy: -6.47 eV/atom
energy of formation from the pure elements: 0.3 eV per formula unit

Record 5
First-principles (PBE) data for a relaxed LiFeRh2 crystal, as listed in the Alexandria database.

Unit cell a=4.2519 b=4.2519 c=4.2519 alpha=60.00 beta=60.00 gamma=60.00
Positions (direct):
Fe (0.5000, 0.5000, 0.5000)
Li (0.7500, 0.7500, 0.7500)
Rh (0.0000, 0.0000, 0.0000)
Rh (0.2500, 0.2500, 0.2500)

Summary:
V: 13.6 Å³/atom
relative energy among the computed polymorphs: 0.217 eV/atom
calculated total energy: -6.18 eV/atom
energy of formation from the pure elements: 0.4 eV per formula unit

Record 6
First-principles (PBE) data for a relaxed LiFeRh2 crystal, as listed in the Alexandria database.

Unit cell a=4.4207 b=4.4207 c=4.7690 alpha=81.04 beta=81.04 gamma=35.51
Positions (direct):
Fe (0.2500, 0.2500, 0.2500)
Li (0.7500, 0.7500, 0.7500)
Rh (0.9956, 0.9956, 0.9971)
Rh (0.5044, 0.5044, 0.5029)

Summary:
V: 13.4 Å³/atom
relative energy among the computed polymorphs: 0.065 eV/atom
calculated total energy: -6.33 eV/atom
energy of formation from the pure elements: -0.2 eV per formula unit

Number 1: ρ 6.43 Mg/m³. Number 2: ρ 7.30 Mg/m³. Number 3: ρ 6.66 Mg/m³. Number 4: ρ 7.25 Mg/m³. Number 5: ρ 8.21 Mg/m³. Number 6: ρ 8.35 Mg/m³.